# 1
This record from Alexandria describes a geometry-optimized Li2CdGa4 structure. The functional is PBE.

Properties
Its symmetry is Fmmm.

Cell and atoms, written as POSCAR:
```
Li2CdGa4
1.0
0.0000 4.6325 5.2786
2.8147 0.0000 5.2786
2.8147 4.6325 0.0000
Li Cd Ga
2 1 4
Cartesian
2.8147 4.6325 1.4729
2.8147 4.6325 9.0844
2.8147 4.6325 5.2786
1.4073 2.3162 0.0000
1.4073 2.3162 2.6393
1.4073 2.3162 5.2786
4.2220 6.9487 7.9179
```


# 2
This record from Alexandria describes a geometry-optimized Li3Cd3Ga2 structure. The functional is PBE.

Properties
Its symmetry is Cmcm.

Cell and atoms, written as POSCAR:
```
Li3Cd3Ga2
1.0
2.2622 -4.8547 0.0000
2.2622 4.8547 0.0000
0.0000 0.0000 13.8748
Li Cd Ga
6 6 4
Cartesian
2.2622 4.1397 8.2030
2.2622 4.1397 12.6092
2.2622 2.4233 10.4061
2.2622 -2.4233 3.4687
2.2622 -4.1397 1.2656
2.2622 -4.1397 5.6718
2.2622 1.2402 7.6524
2.2622 1.2402 13.1598
2.2622 0.2988 3.4687
2.2622 -0.2988 10.4061
2.2622 -1.2402 0.7150
2.2622 -1.2402 6.2224
2.2622 2.7207 1.9766
2.2622 2.7207 4.9608
2.2622 -2.7207 8.9140
2.2622 -2.7207 11.8982
```


# 3
This record from Alexandria describes a geometry-optimized Li2Cd3Ga structure. The functional is PBE.

Properties
Its symmetry is Pmm2.

Cell and atoms, written as POSCAR:
```
Li2Cd3Ga
1.0
3.0676 0.0000 0.0000
0.0000 4.7320 0.0000
0.0000 0.0000 8.3388
Li Cd Ga
2 3 1
Cartesian
0.0000 0.0000 0.0000
0.0000 2.3660 4.0605
1.5338 0.0000 5.4057
1.5338 2.3660 1.3948
1.5338 2.3660 6.9172
1.5338 0.0000 2.7064
```


| no. | E_tot (eV per atom) | formation enthalpy at 0 K (meV/atom) | density (g cm⁻³) |
| --- | --- | --- | --- |
| 1 | -2.492 | -84.3 | 4.9 |
| 2 | -1.980 | -162.0 | 5.4 |
| 3 | -1.778 | -177.9 | 5.8 |